A plane-wave DFT calculation with GGA-PBE was carried out for an optimized crystal structure of SiHgPt2.

a b c (Å): 4.4947 4.4947 3.3522
angles (deg): 90.11 90.11 100.18
Last column: nearest neighbours and their distance in Å.
Element x y z (fractional)
1 Si 0.0000 0.0000 0.0000  8 Pt 2.80-2.81, 2 Hg 2.88
2 Hg 0.5000 0.5000 0.0000  8 Pt 2.80-2.81, 2 Si 2.88
3 Pt 0.0000 0.5000 0.5000  4 Hg 2.80-2.81, 4 Si 2.80-2.81, 2 Pt 2.88
4 Pt 0.5000 0.0000 0.5000  4 Hg 2.80-2.81, 4 Si 2.80-2.81, 2 Pt 2.88

**Uncorrected formation energy**: 0.039 eV per atom
**Space-group type**: No. 12
**Total magnetization**: 0.00 μB/f.u.
**Theoretical density**: 15.416 g/cm³
**Final energy**: -4.412 eV/atom
**Energy above the lowest structure with this stoichiometry**: 341.5 meV/atom